# 1
DFT (PBE-GGA) results for a relaxed structure of Hf4Ti2Ru.

Cell and atoms, written as POSCAR:
```
Hf4Ti2Ru
1.0
-4.083 2.624 0.267
-2.390 -3.889 1.669
-1.620 1.211 7.579
Ru Hf Ti
1 4 2
Direct
0.000 0.000 0.000
0.183 0.183 0.634
0.817 0.817 0.366
0.000 0.500 0.000
0.500 0.000 0.000
0.382 0.382 0.237
0.618 0.618 0.763
```

Its mass density is 9.1 g/cm3. For the density of states at the Fermi level, the calculation gives 10.66 states/eV per cell. As for the magnetic moment: 0.572 μB/atom. Its formation energy from the elements is 0.69 eV/atom.


# 2
DFT (PBE-GGA) results for a relaxed structure of HfTi4Ru5.

Cell and atoms, written as POSCAR:
```
HfTi4Ru5
1.0
-0.437 1.682 -2.583
-2.911 0.631 0.904
5.067 12.731 7.434
Hf Ti Ru
1 4 5
Direct
0.000 0.000 0.000
0.000 0.000 0.206
0.000 0.000 0.402
0.000 0.000 0.598
0.000 0.000 0.794
0.500 0.500 0.108
0.500 0.500 0.304
0.500 0.500 0.500
0.500 0.500 0.696
0.500 0.500 0.892
```

Its mass density is 9.6 g/cm3. For the density of states at the Fermi level, the calculation gives 2.87 states/eV per cell. As for the magnetic moment: 0.000 μB/atom. Its formation energy from the elements is -0.76 eV/atom.


# 3
DFT (PBE-GGA) results for a relaxed structure of HfTi5Ru6.

Cell and atoms, written as POSCAR:
```
HfTi5Ru6
1.0
4.230 0.017 -1.237
-0.853 5.465 -2.846
-0.083 0.405 7.601
Ru Hf Ti
6 1 5
Direct
0.831 0.578 0.662
0.831 0.084 0.662
0.500 0.744 0.000
0.500 0.256 0.000
0.169 0.916 0.338
0.169 0.422 0.338
0.000 0.000 0.000
0.669 0.169 0.338
0.333 0.333 0.667
0.000 0.500 0.000
0.667 0.667 0.333
0.331 0.831 0.662
```

Its mass density is 9.4 g/cm3. For the density of states at the Fermi level, the calculation gives 2.51 states/eV per cell. As for the magnetic moment: 0.000 μB/atom. Its formation energy from the elements is -0.76 eV/atom.


# 4
DFT (PBE-GGA) results for a relaxed structure of HfTi2Ru.

Cell and atoms, written as POSCAR:
```
HfTi2Ru
1.0
7.306 0.000 0.000
0.000 7.306 0.000
3.653 3.653 2.769
Ru Hf Ti
2 2 4
Direct
0.500 0.500 0.000
0.250 0.750 0.500
0.000 0.000 0.000
0.750 0.250 0.500
0.575 0.125 0.250
0.175 0.625 0.250
0.375 0.425 0.750
0.875 0.825 0.750
```

Its mass density is 8.4 g/cm3. For the density of states at the Fermi level, the calculation gives 4.79 states/eV per cell. As for the magnetic moment: 0.000 μB/atom. Its formation energy from the elements is 0.02 eV/atom. Its distance to the lowest polymorph of the same formula is 434 meV per atom.


# 5
DFT (PBE-GGA) results for a relaxed structure of HfTi2Ru.

Cell and atoms, written as POSCAR:
```
HfTi2Ru
1.0
3.069 0.000 0.000
0.000 4.678 0.000
-1.535 0.000 9.840
Hf Ti Ru
2 4 2
Direct
0.384 0.250 0.768
0.616 0.750 0.232
0.747 0.250 0.494
0.253 0.750 0.506
0.028 0.250 0.056
0.972 0.750 0.944
0.146 0.250 0.293
0.854 0.750 0.707
```

Its mass density is 8.8 g/cm3. For the density of states at the Fermi level, the calculation gives 5.91 states/eV per cell. As for the magnetic moment: 0.000 μB/atom. Its formation energy from the elements is -0.25 eV/atom. Its distance to the lowest polymorph of the same formula is 164 meV per atom.


# 6
DFT (PBE-GGA) results for a relaxed structure of YHfTiRu2.

Cell and atoms, written as POSCAR:
```
YHfTiRu2
1.0
4.750 0.000 0.000
0.000 5.175 0.000
0.000 0.000 4.750
Y Ru Hf Ti
1 2 1 1
Direct
0.000 0.500 0.000
0.000 0.000 0.500
0.500 0.000 0.000
0.000 0.000 0.000
0.500 0.500 0.500
```

Its mass density is 7.4 g/cm3. For the density of states at the Fermi level, the calculation gives 13.58 states/eV per cell. As for the magnetic moment: 0.000 μB/atom. Its formation energy from the elements is 1.22 eV/atom.


# 7
DFT (PBE-GGA) results for a relaxed structure of HfZr2TiRu.

Cell and atoms, written as POSCAR:
```
HfZr2TiRu
1.0
-3.042 -2.994 -2.821
3.567 -0.952 -2.836
1.247 -4.015 2.916
Ru Hf Zr Ti
1 1 2 1
Direct
0.000 0.500 0.000
0.000 0.000 0.000
0.000 0.000 0.500
0.500 0.000 0.000
0.500 0.500 0.500
```

Its mass density is 6.9 g/cm3. For the density of states at the Fermi level, the calculation gives 9.43 states/eV per cell. As for the magnetic moment: 0.000 μB/atom. Its formation energy from the elements is 1.19 eV/atom.


# 8
DFT (PBE-GGA) results for a relaxed structure of HfTl2Ru.

Cell and atoms, written as POSCAR:
```
HfTl2Ru
1.0
7.865 0.000 0.000
0.000 7.865 0.000
3.933 3.933 2.872
Ru Tl Hf
2 4 2
Direct
0.500 0.500 0.000
0.250 0.750 0.500
0.599 0.125 0.250
0.151 0.625 0.250
0.375 0.401 0.750
0.875 0.849 0.750
0.000 0.000 0.000
0.750 0.250 0.500
```

Its mass density is 12.9 g/cm3. For the density of states at the Fermi level, the calculation gives 4.15 states/eV per cell. As for the magnetic moment: 0.000 μB/atom. Its formation energy from the elements is 0.58 eV/atom. Its distance to the lowest polymorph of the same formula is 229 meV per atom.


# 9
DFT (PBE-GGA) results for a relaxed structure of HfTl2Ru.

Cell and atoms, written as POSCAR:
```
HfTl2Ru
1.0
0.000 3.410 3.410
3.410 0.000 3.410
3.410 3.410 0.000
Ru Tl Hf
1 2 1
Direct
0.000 0.000 0.000
0.250 0.250 0.250
0.750 0.750 0.750
0.500 0.500 0.500
```

Its mass density is 14.4 g/cm3. For the density of states at the Fermi level, the calculation gives 1.58 states/eV per cell. As for the magnetic moment: 0.000 μB/atom. Its formation energy from the elements is 0.35 eV/atom. Its distance to the lowest polymorph of the same formula is 0 meV per atom.


# 10
DFT (PBE-GGA) results for a relaxed structure of Hf2TlRu.

Cell and atoms, written as POSCAR:
```
Hf2TlRu
1.0
0.000 3.405 3.405
3.405 0.000 3.405
3.405 3.405 0.000
Ru Tl Hf
1 1 2
Direct
0.000 0.000 0.000
0.500 0.500 0.500
0.250 0.250 0.250
0.750 0.750 0.750
```

Its mass density is 13.9 g/cm3. For the density of states at the Fermi level, the calculation gives 5.28 states/eV per cell. As for the magnetic moment: 0.000 μB/atom. Its formation energy from the elements is -0.04 eV/atom. Its distance to the lowest polymorph of the same formula is 238 meV per atom.


# 11
DFT (PBE-GGA) results for a relaxed structure of HfTl2Ru2.

Cell and atoms, written as POSCAR:
```
HfTl2Ru2
1.0
7.781 0.000 0.000
0.000 7.781 0.000
0.000 0.000 3.152
Ru Tl Hf
4 4 2
Direct
0.166 0.666 0.500
0.666 0.834 0.500
0.834 0.334 0.500
0.334 0.166 0.500
0.366 0.866 0.000
0.866 0.634 0.000
0.634 0.134 0.000
0.134 0.366 0.000
0.000 0.000 0.000
0.500 0.500 0.000
```

Its mass density is 13.7 g/cm3. For the density of states at the Fermi level, the calculation gives 7.65 states/eV per cell. As for the magnetic moment: 0.000 μB/atom. Its formation energy from the elements is 0.43 eV/atom. Its distance to the lowest polymorph of the same formula is 0 meV per atom.


# 12
DFT (PBE-GGA) results for a relaxed structure of Hf3TlRu.

Cell and atoms, written as POSCAR:
```
Hf3TlRu
1.0
-1.282 2.448 4.149
-3.377 -3.519 1.033
3.436 -2.545 2.563
Ru Tl Hf
1 1 3
Direct
0.000 0.000 0.000
0.500 0.500 0.500
0.000 0.500 0.000
0.000 0.000 0.500
0.500 0.000 0.000
```

Its mass density is 11.3 g/cm3. For the density of states at the Fermi level, the calculation gives 8.65 states/eV per cell. As for the magnetic moment: 0.000 μB/atom. Its formation energy from the elements is 0.28 eV/atom. Its distance to the lowest polymorph of the same formula is 0 meV per atom.


# 13
DFT (PBE-GGA) results for a relaxed structure of Hf2TlRu.

Cell and atoms, written as POSCAR:
```
Hf2TlRu
1.0
-1.485 -7.543 -0.858
1.691 0.524 -7.531
2.874 -4.121 -3.615
Ru Tl Hf
2 2 4
Direct
0.500 0.500 0.000
0.250 0.750 0.500
0.000 0.000 0.000
0.750 0.250 0.500
0.571 0.125 0.250
0.179 0.625 0.250
0.375 0.429 0.750
0.875 0.821 0.750
```

Its mass density is 12.7 g/cm3. For the density of states at the Fermi level, the calculation gives 7.81 states/eV per cell. As for the magnetic moment: 0.000 μB/atom. Its formation energy from the elements is 0.19 eV/atom. Its distance to the lowest polymorph of the same formula is 474 meV per atom.